Below is an optimized crystal structure of Ce4ZnAu2, with properties calculated at the PBE-GGA level.

SG ... No. 65
Total energy ... -0.17669 hartree per atom
Total magnetization ... 4.057 μB per cell
Formation enthalpy at 0 K ... -0.30 eV per atom

Cell: 4.660 6.315 6.315 Å, 106.02 90.00 90.00°
Each line ends with the local moment (μB).
Positions (direct):
1 Au 0.000 0.298 0.702  0.01
2 Au 0.000 0.702 0.298  0.01
3 Ce 0.000 0.185 0.185  0.89
4 Ce 0.500 0.500 0.000  0.73
5 Ce 0.500 0.000 0.500  0.73
6 Ce 0.000 0.815 0.815  0.89
7 Zn 0.500 0.500 0.500  -0.01

---

Below is an optimized crystal structure of Sr2TlRe, with properties calculated at the PBE-GGA level.

SG ... No. 65
Total energy ... -0.13913 hartree per atom
Excess energy over the best structure of this formula in the dataset ... 0.149 eV/atom
Total magnetization ... 0.001 μB per cell
Formation enthalpy at 0 K ... 0.76 eV per atom

Cell: 5.944 5.944 3.186 Å, 90.01 90.01 101.50°
Positions (direct):
1 Re 0.000 0.500 0.500
2 Sr 0.500 0.500 0.000
3 Sr 0.000 0.000 0.000
4 Tl 0.500 0.000 0.500

---

Below is an optimized crystal structure of BaFeAg, with properties calculated at the PBE-GGA level.

SG ... No. 216
Total energy ... -0.12318 hartree per atom
Total magnetization ... 3.092 μB per cell
Formation enthalpy at 0 K ... 1.06 eV per atom

Cell: 5.373 5.373 5.373 Å, 60.00 60.00 60.00°
Each line ends with the local moment (μB).
Positions (direct):
1 Ba 0.750 0.750 0.750  -0.04
2 Fe 0.000 0.000 0.000  3.14
3 Ag 0.500 0.500 0.500  0.01